DFT (PBE-GGA) results for an optimized crystal structure of Nb3CuS.

a = 4.5591 Å, b = 4.5591 Å, c = 4.5591 Å
α = 90.00°, β = 90.00°, γ = 90.00°
Space group Pm-3m (No. 221)
Unique sites:
1 Nb 0.0000 0.0000 0.5000 x3
2 Cu 0.5000 0.5000 0.5000 x1
3 S 0.0000 0.0000 0.0000 x1

Its crystal system is cubic. Its formation energy without anion corrections is 0.3552 eV/atom. The calculation puts the total energy at -36.7 eV/cell. The calculation puts the density of states at the Fermi level at 2.18 states/eV per atom.

DFT (PBE-GGA) results for an optimized crystal structure of NbCuS3.

a = 4.7869 Å, b = 4.7869 Å, c = 4.7869 Å
α = 90.00°, β = 90.00°, γ = 90.00°
Space group Pm-3m (No. 221)
Unique sites:
1 Nb 0.0000 0.0000 0.0000 x1
2 Cu 0.5000 0.5000 0.5000 x1
3 S 0.0000 0.0000 0.5000 x3

Its crystal system is cubic. Its formation energy without anion corrections is 0.0555 eV/atom. The calculation puts the total energy at -26.3 eV/cell. The calculation puts the density of states at the Fermi level at 0.63 states/eV per atom.

DFT (PBE-GGA) results for an optimized crystal structure of NbCu3S.

a = 4.2872 Å, b = 4.2872 Å, c = 4.2872 Å
α = 90.00°, β = 90.00°, γ = 90.00°
Space group Pm-3m (No. 221)
Unique sites:
1 Nb 0.0000 0.0000 0.0000 x1
2 Cu 0.0000 0.5000 0.5000 x3
3 S 0.5000 0.5000 0.5000 x1

Its crystal system is cubic. Its formation energy without anion corrections is 0.6932 eV/atom. The calculation puts the total energy at -23.0 eV/cell. The calculation puts the density of states at the Fermi level at 0.67 states/eV per atom.

DFT (PBE-GGA) results for an optimized crystal structure of Nb8CuS2.

a = 11.4722 Å, b = 7.7210 Å, c = 4.7757 Å
α = 90.00°, β = 91.14°, γ = 90.00°
Space group C2/m (No. 12)
Unique sites:
1 Nb 0.0909 0.2052 0.2626 x8
2 Nb 0.1112 0.0000 0.7716 x4
3 Nb 0.2136 0.5000 0.6962 x4
4 Cu 0.0000 0.5000 0.5000 x2
5 S 0.1698 0.5000 0.1880 x4

Its crystal system is monoclinic. Its formation energy without anion corrections is 0.1081 eV/atom. The calculation puts the total energy at -183.4 eV/cell. The calculation puts the density of states at the Fermi level at 0.86 states/eV per atom.

DFT (PBE-GGA) results for an optimized crystal structure of NbCu3S.

a = 4.7996 Å, b = 4.7996 Å, c = 4.7996 Å
α = 90.00°, β = 90.00°, γ = 90.00°
Space group Pm-3m (No. 221)
Unique sites:
1 Nb 0.0000 0.0000 0.0000 x1
2 Cu 0.0000 0.0000 0.5000 x3
3 S 0.5000 0.5000 0.5000 x1

Its crystal system is cubic. Its formation energy without anion corrections is 1.6743 eV/atom. The calculation puts the total energy at -18.1 eV/cell. The calculation puts the density of states at the Fermi level at 1.31 states/eV per atom.

DFT (PBE-GGA) results for an optimized crystal structure of NbCuS3.

a = 6.9942 Å, b = 6.9942 Å, c = 8.9314 Å
α = 90.00°, β = 90.00°, γ = 120.00°
Space group R3m (No. 160, hexagonal axes)
Unique sites:
1 Nb 0.0000 0.0000 0.0000 x3
2 Cu 0.0000 0.0000 0.6789 x3
3 S 0.0018 0.5009 0.4548 x9

Its crystal system is trigonal. Its formation energy without anion corrections is -0.3255 eV/atom. The calculation puts the total energy at -84.5 eV/cell. The calculation puts the density of states at the Fermi level at 0.13 states/eV per atom.

> Look up the formation energy without anion corrections of the second one.

0.0555 eV/atom

> What is the formation energy without anion corrections in the sixth record?

-0.3255 eV/atom

> Among the records above, which one has the lowest total energy?

Nb8CuS2

> Which of these has the highest formation energy without anion corrections?

number 5